A plane-wave DFT calculation with SCAN was carried out for a PBEsol-optimized structure of CaCoCu2.

Structure (CIF):
```
data_CaCoCu2
_chemical_formula_sum 'Ca2 Co2 Cu4'
_cell_length_a 3.879
_cell_length_b 3.879
_cell_length_c 7.736
_cell_angle_alpha 90.00
_cell_angle_beta 90.00
_cell_angle_gamma 90.00
_space_group_name_H-M_alt 'I 4/m m m'
_space_group_IT_number 139
_space_group_name_Hall '-I 4 2'
loop_
_atom_site_label
_atom_site_fract_x
_atom_site_fract_y
_atom_site_fract_z
Ca1 0.000 0.000 0.000
Co1 0.000 0.000 0.500
Cu1 0.000 0.500 0.250
```

## Properties
Crystal system ... tetragonal
V ... 14.551 Å³/atom
ΔE_f ... 0.299 eV per atom